[1]
A plane-wave DFT calculation with PBEsol was carried out for BeMoP2O after structural relaxation.

Geometry as POSCAR:
```
BeMoP2O
1.0
2.812 0.000 0.000
0.000 4.726 0.000
0.000 0.000 4.726
P Mo O Be
2 1 1 1
Direct
0.000 0.000 0.500
0.000 0.500 0.000
0.500 0.500 0.500
0.500 0.000 0.000
0.000 0.000 0.000
```

As for the symmetry: P4/mmm, No. 123. The uncorrected energy comes out at -6.549 eV per atom. As for the total magnetic moment: 0.63 μB per cell. As for the formation energy without anion corrections: -0.1 eV/f.u.

[2]
A plane-wave DFT calculation with PBEsol was carried out for Be3Si3Mo2O12 after structural relaxation.

Geometry as POSCAR:
```
Be3Si3Mo2O12
1.0
-5.580 -3.199 4.155
1.805 -7.164 -3.093
8.947 -2.205 10.318
Be Si Mo O
12 12 8 48
Direct
0.143 0.572 0.237
0.350 0.576 0.597
0.850 0.924 0.903
0.650 0.424 0.403
0.150 0.076 0.097
0.854 0.889 0.585
0.354 0.611 0.915
0.146 0.111 0.415
0.646 0.389 0.085
0.357 0.072 0.737
0.857 0.428 0.763
0.643 0.928 0.263
0.764 0.566 0.234
0.264 0.934 0.266
0.236 0.434 0.766
0.736 0.066 0.734
0.269 0.386 0.084
0.769 0.114 0.416
0.731 0.614 0.916
0.231 0.886 0.584
0.765 0.067 0.100
0.265 0.433 0.400
0.235 0.933 0.900
0.735 0.567 0.600
0.551 0.252 0.911
0.949 0.752 0.411
0.449 0.748 0.089
0.051 0.248 0.589
0.444 0.251 0.576
0.944 0.249 0.924
0.556 0.749 0.424
0.056 0.751 0.076
0.874 0.747 0.961
0.954 0.595 0.182
0.454 0.905 0.318
0.046 0.405 0.818
0.546 0.095 0.682
0.459 0.316 0.045
0.959 0.184 0.455
0.541 0.684 0.955
0.041 0.816 0.545
0.960 0.981 0.112
0.460 0.519 0.388
0.040 0.019 0.888
0.875 0.428 0.644
0.375 0.072 0.856
0.125 0.572 0.356
0.625 0.928 0.144
0.374 0.753 0.539
0.540 0.481 0.612
0.626 0.247 0.461
0.126 0.253 0.039
0.244 0.423 0.523
0.380 0.435 0.855
0.120 0.935 0.355
0.620 0.565 0.145
0.261 0.081 0.189
0.761 0.419 0.311
0.739 0.919 0.811
0.239 0.581 0.689
0.256 0.432 0.195
0.756 0.068 0.305
0.744 0.568 0.805
0.244 0.932 0.695
0.756 0.255 0.134
0.256 0.245 0.366
0.244 0.745 0.866
0.744 0.755 0.634
0.237 0.759 0.198
0.737 0.741 0.302
0.763 0.241 0.802
0.263 0.259 0.698
0.254 0.574 0.027
0.754 0.926 0.473
0.746 0.426 0.973
0.246 0.074 0.527
0.256 0.923 0.023
0.756 0.577 0.477
0.744 0.077 0.977
0.880 0.065 0.645
```

As for the symmetry: P2_1/c, No. 14. The uncorrected energy comes out at -8.046 eV per atom. As for the total magnetic moment: 24.00 μB per cell. As for the formation energy without anion corrections: -45.2 eV/f.u.

[3]
A plane-wave DFT calculation with PBEsol was carried out for Be2MoOs after structural relaxation.

Geometry as POSCAR:
```
Be2MoOs
1.0
-3.513 -1.737 0.720
-0.340 -3.965 -0.195
-0.528 -2.121 3.331
Be Mo Os
2 1 1
Direct
0.750 0.750 0.750
0.250 0.250 0.250
0.500 0.500 0.500
0.000 0.000 0.000
```

As for the symmetry: Fm-3m, No. 225. The uncorrected energy comes out at -7.925 eV per atom. Its energy above the most stable polymorph in this dataset is 3.70 kJ/mol of atoms. The value obtained for the energy of formation is 0.070 eV per atom. As for the total magnetic moment: 0.00 μB per cell.

[4]
A plane-wave DFT calculation with PBEsol was carried out for Be4MoOs after structural relaxation.

Geometry as POSCAR:
```
Be4MoOs
1.0
4.358 0.000 0.000
2.179 3.775 0.000
2.179 1.258 3.559
Be Mo Os
4 1 1
Direct
0.872 0.376 0.376
0.376 0.376 0.376
0.376 0.376 0.872
0.376 0.872 0.376
0.750 0.750 0.750
0.000 0.000 0.000
```

As for the symmetry: F-43m, No. 216. The uncorrected energy comes out at -7.006 eV per atom. The value obtained for the energy of formation is -0.342 eV per atom. As for the total magnetic moment: 0.00 μB per cell.

[5]
A plane-wave DFT calculation with PBEsol was carried out for Be2MoOs2 after structural relaxation.

Geometry as POSCAR:
```
Be2MoOs2
1.0
2.897 0.000 0.000
0.000 6.310 0.000
0.000 0.000 6.310
Be Mo Os
4 2 4
Direct
0.000 0.374 0.874
0.000 0.874 0.626
0.000 0.626 0.126
0.000 0.126 0.374
0.000 0.000 0.000
0.000 0.500 0.500
0.500 0.165 0.665
0.500 0.665 0.835
0.500 0.835 0.335
0.500 0.335 0.165
```

As for the symmetry: P4/mbm, No. 127. The uncorrected energy comes out at -8.964 eV per atom. The value obtained for the energy of formation is -0.124 eV per atom. As for the total magnetic moment: 0.00 μB per cell.

[6]
A plane-wave DFT calculation with PBEsol was carried out for BeMoOs after structural relaxation.

Geometry as POSCAR:
```
BeMoOs
1.0
4.030 0.000 0.000
2.015 3.490 0.000
2.015 1.163 3.291
Be Mo Os
1 1 1
Direct
0.000 0.000 0.000
0.500 0.500 0.500
0.250 0.250 0.250
```

As for the symmetry: F-43m, No. 216. The uncorrected energy comes out at -8.814 eV per atom. Its energy above the most stable polymorph in this dataset is 58.14 kJ/mol of atoms. The value obtained for the energy of formation is 0.514 eV per atom. As for the total magnetic moment: 0.00 μB per cell.

[7]
A plane-wave DFT calculation with PBEsol was carried out for BeMoOs3 after structural relaxation.

Geometry as POSCAR:
```
BeMoOs3
1.0
-0.324 2.751 -2.963
2.926 -1.892 -2.076
-2.790 -2.303 -1.833
Be Mo Os
1 1 3
Direct
0.000 0.000 0.000
0.500 0.500 0.500
0.000 0.500 0.000
0.000 0.000 0.500
0.500 0.000 0.000
```

As for the symmetry: Pm-3m, No. 221. The uncorrected energy comes out at -9.954 eV per atom. The value obtained for the energy of formation is 0.529 eV per atom. As for the total magnetic moment: 0.00 μB per cell.

[8]
A plane-wave DFT calculation with PBEsol was carried out for Be2MoOs after structural relaxation.

Geometry as POSCAR:
```
Be2MoOs
1.0
-1.322 -0.888 -2.288
1.947 -1.962 -0.363
-3.108 -3.680 3.225
Be Mo Os
2 1 1
Direct
0.000 0.000 0.718
0.000 0.000 0.282
0.500 0.500 0.000
0.500 0.500 0.500
```

As for the symmetry: P4/mmm, No. 123. The uncorrected energy comes out at -7.964 eV per atom. Its energy above the most stable polymorph in this dataset is 0.00 kJ/mol of atoms. The value obtained for the energy of formation is 0.032 eV per atom. As for the total magnetic moment: 0.00 μB per cell.

[9]
A plane-wave DFT calculation with PBEsol was carried out for BeMoOs after structural relaxation.

Geometry as POSCAR:
```
BeMoOs
1.0
2.646 -0.006 0.000
-1.016 2.442 0.000
-0.815 -1.218 6.055
Be Mo Os
1 1 1
Direct
0.996 0.996 0.993
0.661 0.661 0.321
0.343 0.343 0.686
```

As for the symmetry: Fmm2, No. 42. The uncorrected energy comes out at -9.065 eV per atom. Its energy above the most stable polymorph in this dataset is 33.86 kJ/mol of atoms. The value obtained for the energy of formation is 0.263 eV per atom. As for the total magnetic moment: 0.00 μB per cell.

[10]
A plane-wave DFT calculation with PBEsol was carried out for BeMoOs after structural relaxation.

Geometry as POSCAR:
```
BeMoOs
1.0
-1.625 1.068 2.210
1.840 -1.225 1.944
2.282 3.687 -2.065
Be Mo Os
1 1 1
Direct
0.988 0.988 0.975
0.664 0.664 0.328
0.348 0.348 0.697
```

As for the symmetry: I4mm, No. 107. The uncorrected energy comes out at -9.416 eV per atom. Its energy above the most stable polymorph in this dataset is 0.00 kJ/mol of atoms. The value obtained for the energy of formation is -0.088 eV per atom. As for the total magnetic moment: 0.00 μB per cell.

[11]
A plane-wave DFT calculation with PBEsol was carried out for BeMoP after structural relaxation.

Geometry as POSCAR:
```
BeMoP
1.0
3.746 0.000 0.000
1.873 3.244 0.000
1.873 1.081 3.059
P Mo Be
1 1 1
Direct
0.500 0.500 0.500
0.000 0.000 0.000
0.250 0.250 0.250
```

As for the symmetry: F-43m, No. 216. The uncorrected energy comes out at -6.788 eV per atom. Its energy above the most stable polymorph in this dataset is 4.62 kJ/mol of atoms. The value obtained for the energy of formation is 0.398 eV per atom. As for the total magnetic moment: 0.65 μB per cell.

[12]
A plane-wave DFT calculation with PBEsol was carried out for BeMoP2 after structural relaxation.

Geometry as POSCAR:
```
BeMoP2
1.0
-0.587 2.976 -0.511
-0.326 -0.675 -3.556
-4.220 -2.281 0.820
P Mo Be
2 1 1
Direct
0.087 0.000 0.174
0.415 0.500 0.830
0.695 0.500 0.390
0.312 0.000 0.625
```

As for the symmetry: Amm2, No. 38. The uncorrected energy comes out at -6.982 eV per atom. The value obtained for the energy of formation is -0.145 eV per atom. As for the total magnetic moment: 0.00 μB per cell.

[13]
A plane-wave DFT calculation with PBEsol was carried out for BeMoP after structural relaxation.

Geometry as POSCAR:
```
BeMoP
1.0
3.911 0.000 0.000
1.955 3.387 0.000
1.955 1.129 3.193
P Mo Be
1 1 1
Direct
0.000 0.000 0.000
0.250 0.250 0.250
0.500 0.500 0.500
```

As for the symmetry: F-43m, No. 216. The uncorrected energy comes out at -6.836 eV per atom. Its energy above the most stable polymorph in this dataset is 0.00 kJ/mol of atoms. The value obtained for the energy of formation is 0.350 eV per atom. As for the total magnetic moment: 0.00 μB per cell.

[14]
A plane-wave DFT calculation with PBEsol was carried out for BeMo2P after structural relaxation.

Geometry as POSCAR:
```
BeMo2P
1.0
-1.744 1.047 1.999
-2.787 0.275 -0.541
-2.710 -6.562 3.107
P Mo Be
1 2 1
Direct
0.500 0.500 0.500
0.248 0.248 0.255
0.752 0.752 0.745
0.000 0.000 0.000
```

As for the symmetry: R-3m, No. 166. The uncorrected energy comes out at -8.242 eV per atom. The value obtained for the energy of formation is 0.090 eV per atom. As for the total magnetic moment: 0.00 μB per cell.

[15]
A plane-wave DFT calculation with PBEsol was carried out for BeMoP2 after structural relaxation.

Geometry as POSCAR:
```
BeMoP2
1.0
5.333 0.000 0.000
0.000 5.333 0.000
-2.667 -2.667 4.851
P Mo Be
4 2 2
Direct
0.401 0.875 0.250
0.849 0.375 0.250
0.125 0.151 0.750
0.625 0.599 0.750
0.250 0.750 0.500
0.000 0.000 0.000
0.750 0.250 0.500
0.500 0.500 0.000
```

As for the symmetry: I-42d, No. 122. The uncorrected energy comes out at -6.664 eV per atom. The value obtained for the energy of formation is 0.174 eV per atom. As for the total magnetic moment: 0.01 μB per cell.

[16]
A plane-wave DFT calculation with PBEsol was carried out for TiBeMoP2 after structural relaxation.

Geometry as POSCAR:
```
TiBeMoP2
1.0
-1.842 1.358 3.167
-3.656 -0.978 -1.707
0.199 -3.769 1.732
P Mo Be Ti
2 1 1 1
Direct
0.000 0.000 0.500
0.000 0.500 0.000
0.500 0.500 0.500
0.000 0.000 0.000
0.500 0.000 0.000
```

As for the symmetry: P4/mmm, No. 123. The uncorrected energy comes out at -6.546 eV per atom. The value obtained for the energy of formation is 0.589 eV per atom. As for the total magnetic moment: 0.00 μB per cell.

[17]
A plane-wave DFT calculation with PBEsol was carried out for Be3MoPb after structural relaxation.

Geometry as POSCAR:
```
Be3MoPb
1.0
-2.220 2.603 2.850
-3.682 -2.416 -0.662
1.159 -2.687 3.357
Pb Be Mo
1 3 1
Direct
0.000 0.000 0.000
0.000 0.500 0.000
0.000 0.000 0.500
0.500 0.000 0.000
0.500 0.500 0.500
```

As for the symmetry: Pm-3m, No. 221. The uncorrected energy comes out at -3.610 eV per atom. The value obtained for the energy of formation is 1.943 eV per atom. As for the total magnetic moment: 2.47 μB per cell.

[18]
A plane-wave DFT calculation with PBEsol was carried out for BeMo2Pb after structural relaxation.

Geometry as POSCAR:
```
BeMo2Pb
1.0
3.187 0.000 0.000
0.000 3.187 0.000
0.000 0.000 6.354
Pb Be Mo
1 1 2
Direct
0.000 0.000 0.512
0.500 0.500 0.813
0.000 0.000 0.978
0.500 0.500 0.198
```

As for the symmetry: P4mm, No. 99. The uncorrected energy comes out at -7.581 eV per atom. Its energy above the most stable polymorph in this dataset is 0.00 kJ/mol of atoms. The value obtained for the energy of formation is 0.303 eV per atom. As for the total magnetic moment: 0.00 μB per cell.

[19]
A plane-wave DFT calculation with PBEsol was carried out for BeMo2Pb after structural relaxation.

Geometry as POSCAR:
```
BeMo2Pb
1.0
-3.048 -0.812 0.442
2.080 -2.995 -2.733
1.167 -1.892 4.589
Pb Be Mo
1 1 2
Direct
0.499 0.000 0.488
0.737 0.473 0.187
0.993 0.984 0.004
0.272 0.543 0.822
```

As for the symmetry: P1, No. 1. The uncorrected energy comes out at -7.247 eV per atom. Its energy above the most stable polymorph in this dataset is 32.26 kJ/mol of atoms. The value obtained for the energy of formation is 0.637 eV per atom. As for the total magnetic moment: 0.00 μB per cell.

[20]
A plane-wave DFT calculation with PBEsol was carried out for BeMo2Pb after structural relaxation.

Geometry as POSCAR:
```
BeMo2Pb
1.0
-2.737 0.298 -0.764
2.147 -1.529 -4.491
-0.467 -3.621 3.705
Pb Be Mo
1 1 2
Direct
0.500 0.000 0.000
0.000 0.500 0.000
0.000 0.000 0.500
0.500 0.500 0.500
```

As for the symmetry: C2/m, No. 12. The uncorrected energy comes out at -7.134 eV per atom. Its energy above the most stable polymorph in this dataset is 43.12 kJ/mol of atoms. The value obtained for the energy of formation is 0.750 eV per atom. As for the total magnetic moment: 0.00 μB per cell.

[21]
A plane-wave DFT calculation with PBEsol was carried out for BeMo2Pb after structural relaxation.

Geometry as POSCAR:
```
BeMo2Pb
1.0
2.978 0.000 0.000
0.000 4.873 -0.005
0.000 -2.029 4.430
Pb Be Mo
1 1 2
Direct
0.500 0.000 0.000
0.500 0.500 0.500
0.000 0.500 0.000
0.000 0.000 0.500
```

As for the symmetry: Cmmm, No. 65. The uncorrected energy comes out at -7.060 eV per atom. Its energy above the most stable polymorph in this dataset is 50.24 kJ/mol of atoms. The value obtained for the energy of formation is 0.823 eV per atom. As for the total magnetic moment: 0.00 μB per cell.

[22]
A plane-wave DFT calculation with PBEsol was carried out for Be2MoPt after structural relaxation.

Geometry as POSCAR:
```
Be2MoPt
1.0
2.673 0.000 0.000
0.000 4.135 0.000
0.000 0.000 4.135
Be Mo Pt
2 1 1
Direct
0.000 0.000 0.500
0.000 0.500 0.000
0.500 0.500 0.500
0.500 0.000 0.000
```

As for the symmetry: P4/mmm, No. 123. The uncorrected energy comes out at -6.924 eV per atom. Its energy above the most stable polymorph in this dataset is 2.17 kJ/mol of atoms. The value obtained for the energy of formation is -0.241 eV per atom. As for the total magnetic moment: 0.00 μB per cell.

[23]
A plane-wave DFT calculation with PBEsol was carried out for BeMo2Pt after structural relaxation.

Geometry as POSCAR:
```
BeMo2Pt
1.0
2.658 0.000 0.000
0.000 4.871 -0.022
0.000 -2.339 4.273
Be Mo Pt
1 2 1
Direct
0.500 0.500 0.500
0.000 0.500 0.000
0.000 0.000 0.500
0.500 0.000 0.000
```

As for the symmetry: Cmmm, No. 65. The uncorrected energy comes out at -8.686 eV per atom. The value obtained for the energy of formation is -0.061 eV per atom. As for the total magnetic moment: 0.00 μB per cell.

[24]
A plane-wave DFT calculation with PBEsol was carried out for BeMo3Pt after structural relaxation.

Geometry as POSCAR:
```
BeMo3Pt
1.0
4.147 0.000 0.000
0.000 4.147 0.000
0.000 0.000 4.147
Be Mo Pt
1 3 1
Direct
0.000 0.000 0.000
0.000 0.500 0.000
0.000 0.000 0.500
0.500 0.000 0.000
0.500 0.500 0.500
```

As for the symmetry: Pm-3m, No. 221. The uncorrected energy comes out at -8.713 eV per atom. The value obtained for the energy of formation is 0.540 eV per atom. As for the total magnetic moment: 0.00 μB per cell.

[25]
A plane-wave DFT calculation with PBEsol was carried out for BeMo4Pt after structural relaxation.

Geometry as POSCAR:
```
BeMo4Pt
1.0
5.079 0.000 0.000
2.540 4.399 0.000
2.540 1.466 4.147
Be Mo Pt
1 4 1
Direct
0.000 0.000 0.000
0.373 0.373 0.373
0.373 0.373 0.880
0.880 0.373 0.373
0.373 0.880 0.373
0.750 0.750 0.750
```

As for the symmetry: F-43m, No. 216. The uncorrected energy comes out at -9.190 eV per atom. The value obtained for the energy of formation is 0.483 eV per atom. As for the total magnetic moment: 0.00 μB per cell.